No. 1
Material: NaAc3Bi4
Method: DFT, PBE
State: relaxed

Summary:
**ΔH_f (0 K)**: -0.671 eV/atom
**Space group**: Pm-3m (221)
**Energy**: -34.54 eV per cell

Cell: 6.8702 6.8702 6.8702 Å, 90.00 90.00 90.00°
Element x y z (fractional)
Ac (0.5000, 0.5000, 0.0000)
Ac (0.0000, 0.5000, 0.5000)
Ac (0.5000, 0.0000, 0.5000)
Bi (0.5000, 0.0000, 0.0000)
Bi (0.5000, 0.5000, 0.5000)
Bi (0.0000, 0.5000, 0.0000)
Bi (0.0000, 0.0000, 0.5000)
Na (0.0000, 0.0000, 0.0000)

No. 2
Material: DyBeZn
Method: DFT, PBE
State: relaxed

Summary:
**ΔH_f (0 K)**: -0.176 eV/atom
**Space group**: Pnma (62)
**Energy**: -40.52 eV per cell
**Polymorph energy (0 for the lowest one)**: 0.000 eV/atom

Cell: 4.3115 7.0229 7.0518 Å, 90.00 90.00 90.00°
Element x y z (fractional)
Be (0.2500, 0.0799, 0.1883)
Be (0.7500, 0.9201, 0.8117)
Be (0.7500, 0.5799, 0.3117)
Be (0.2500, 0.4201, 0.6883)
Zn (0.2500, 0.0903, 0.8062)
Zn (0.7500, 0.9097, 0.1938)
Zn (0.7500, 0.5903, 0.6938)
Zn (0.2500, 0.4097, 0.3062)
Dy (0.2500, 0.7939, 0.4928)
Dy (0.2500, 0.7061, 0.9928)
Dy (0.7500, 0.2061, 0.5072)
Dy (0.7500, 0.2939, 0.0072)

No. 3
Material: GeOs3N
Method: DFT, PBE
State: relaxed

Summary:
**Space group**: Pm-3m (221)
**Energy**: -31.01 eV per cell
**Polymorph energy (0 for the lowest one)**: 2.286 eV/atom
**Raw formation energy**: 3.12 eV/atom

Cell: 4.5493 4.5493 4.5493 Å, 90.00 90.00 90.00°
Element x y z (fractional)
Os (0.0000, 0.0000, 0.5000)
Os (0.0000, 0.5000, 0.0000)
Os (0.5000, 0.0000, 0.0000)
N (0.5000, 0.5000, 0.5000)
Ge (0.0000, 0.0000, 0.0000)

No. 4
Material: In2WSe
Method: DFT, PBE
State: relaxed

Summary:
**Space group**: P4mm (99)
**Energy**: -21.31 eV per cell
**Raw formation energy**: 0.15 eV/atom

Cell: 3.1090 3.1090 9.2865 Å, 90.00 90.00 90.00°
Element x y z (fractional)
In (0.5000, 0.5000, 0.2408)
In (0.0000, 0.0000, 0.9545)
W (0.5000, 0.5000, 0.7279)
Se (0.0000, 0.0000, 0.5768)

No. 5
Material: Sc2BeTe
Method: DFT, PBE
State: relaxed

Summary:
**Space group**: R-3m (166)
**Energy**: -18.00 eV per cell
**Polymorph energy (0 for the lowest one)**: 0.861 eV/atom
**Raw formation energy**: 0.38 eV/atom

Cell: 9.4192 9.4192 9.4192 Å, 22.77 22.77 22.77°
Element x y z (fractional)
Be (0.0000, 0.0000, 0.0000)
Sc (0.9025, 0.9025, 0.9025)
Sc (0.0975, 0.0975, 0.0975)
Te (0.5000, 0.5000, 0.5000)

No. 6
Material: NiPdW
Method: DFT, PBE
State: relaxed

Summary:
**ΔH_f (0 K)**: 0.062 eV/atom
**Space group**: P3m1 (156)
**Energy**: -23.74 eV per cell
**Polymorph energy (0 for the lowest one)**: 0.121 eV/atom

Cell: 2.6361 4.2874 4.2874 Å, 120.00 90.00 90.00°
Element x y z (fractional)
Pd (0.4976, 0.3333, 0.6667)
W (0.9990, 0.0000, 0.0000)
Ni (0.5034, 0.6667, 0.3333)

No. 7
Material: Ni2Ag2Ru
Method: DFT, PBE
State: relaxed

Summary:
**ΔH_f (0 K)**: 0.762 eV/atom
**Space group**: I4/mmm (139)
**Energy**: -22.73 eV per cell
**Polymorph energy (0 for the lowest one)**: 0.254 eV/atom

Cell: 3.1637 3.1637 8.2369 Å, 78.93 78.93 90.00°
Element x y z (fractional)
Ag (0.6109, 0.6109, 0.7782)
Ag (0.3891, 0.3891, 0.2218)
Ru (0.0000, 0.0000, 0.0000)
Ni (0.2500, 0.7500, 0.5000)
Ni (0.7500, 0.2500, 0.5000)

No. 8
Material: Tb2TmGa
Method: DFT, PBE
State: relaxed

Summary:
**ΔH_f (0 K)**: 0.139 eV/atom
**Space group**: R-3m (166)
**Energy**: -16.20 eV per cell
**Polymorph energy (0 for the lowest one)**: 0.416 eV/atom

Cell: 3.4737 3.4737 11.7973 Å, 81.53 81.53 60.00°
Element x y z (fractional)
Tb (0.9139, 0.9139, 0.2583)
Tb (0.0861, 0.0861, 0.7417)
Ga (0.0000, 0.0000, 0.0000)
Tm (0.5000, 0.5000, 0.5000)

No. 9
Material: Tl2AgHg
Method: DFT, PBE
State: relaxed

Summary:
**ΔH_f (0 K)**: 0.119 eV/atom
**Space group**: F-43m (216)
**Energy**: -7.41 eV per cell
**Polymorph energy (0 for the lowest one)**: 0.051 eV/atom

Cell: 5.2670 5.2670 5.2670 Å, 60.00 60.00 60.00°
Element x y z (fractional)
Hg (0.7500, 0.7500, 0.7500)
Tl (0.0000, 0.0000, 0.0000)
Tl (0.2500, 0.2500, 0.2500)
Ag (0.5000, 0.5000, 0.5000)

No. 10
Material: SrTl2NiPb
Method: DFT, PBE
State: relaxed

Summary:
**ΔH_f (0 K)**: -0.090 eV/atom
**Space group**: P4/mmm (123)
**Energy**: -16.35 eV per cell
**Polymorph energy (0 for the lowest one)**: 0.000 eV/atom

Cell: 5.1670 5.1670 5.3429 Å, 90.00 90.00 90.00°
Element x y z (fractional)
Tl (0.5000, 0.0000, 0.0000)
Tl (0.0000, 0.5000, 0.0000)
Sr (0.5000, 0.5000, 0.5000)
Ni (0.0000, 0.0000, 0.0000)
Pb (0.0000, 0.0000, 0.5000)

No. 11
Material: PmPuSb2
Method: DFT, PBE
State: relaxed

Summary:
**Space group**: Fm-3m (225)
**Energy**: -30.12 eV per cell
**Polymorph energy (0 for the lowest one)**: 0.189 eV/atom
**Raw formation energy**: -0.70 eV/atom

Cell: 5.4156 5.4156 5.4156 Å, 60.00 60.00 60.00°
Element x y z (fractional)
Sb (0.2500, 0.2500, 0.2500)
Sb (0.7500, 0.7500, 0.7500)
Pm (0.5000, 0.5000, 0.5000)
Pu (0.0000, 0.0000, 0.0000)

No. 12
Material: RbCoRhSe3
Method: DFT, PBE
State: relaxed

Summary:
**Space group**: P2_1/m (11)
**Energy**: -58.44 eV per cell
**Raw formation energy**: -0.56 eV/atom

Cell: 3.8069 8.7532 9.7140 Å, 116.31 90.00 90.00°
Element x y z (fractional)
Rh (0.7500, 0.3160, 0.8432)
Rh (0.2500, 0.6840, 0.1568)
Se (0.7500, 0.4824, 0.1328)
Se (0.2500, 0.5176, 0.8672)
Se (0.7500, 0.8715, 0.1437)
Se (0.2500, 0.7887, 0.4503)
Se (0.7500, 0.2113, 0.5497)
Se (0.2500, 0.1285, 0.8563)
Co (0.2500, 0.0840, 0.6020)
Co (0.7500, 0.9160, 0.3980)
Rb (0.2500, 0.2379, 0.2585)
Rb (0.7500, 0.7621, 0.7415)

No. 13
Material: Li6Cd5Sb
Method: DFT, PBE
State: relaxed

Summary:
**Space group**: C2/m (12)
**Energy**: -23.88 eV per cell
**Raw formation energy**: -0.31 eV/atom

Cell: 4.6277 8.2012 8.2012 Å, 118.88 106.51 106.51°
Element x y z (fractional)
Cd (0.5000, 0.8240, 0.1760)
Cd (0.5000, 0.5000, 0.5000)
Cd (0.0000, 0.3368, 0.6632)
Cd (0.0000, 0.6632, 0.3368)
Cd (0.5000, 0.1760, 0.8240)
Li (0.7526, 0.9172, 0.5878)
Li (0.7435, 0.2427, 0.2427)
Li (0.7526, 0.5878, 0.9172)
Li (0.2565, 0.7573, 0.7573)
Li (0.2474, 0.0828, 0.4122)
Li (0.2474, 0.4122, 0.0828)
Sb (0.0000, 0.0000, 0.0000)

No. 14
Material: BaTa2Ir
Method: DFT, PBE
State: relaxed

Summary:
**ΔH_f (0 K)**: 0.909 eV/atom
**Space group**: F-43m (216)
**Energy**: -30.85 eV per cell
**Polymorph energy (0 for the lowest one)**: 0.691 eV/atom

Cell: 4.9089 4.9089 4.9089 Å, 60.00 60.00 60.00°
Element x y z (fractional)
Ir (0.7500, 0.7500, 0.7500)
Ta (0.2500, 0.2500, 0.2500)
Ta (0.0000, 0.0000, 0.0000)
Ba (0.5000, 0.5000, 0.5000)

No. 15
Material: CeDy3Y6Tm2
Method: DFT, PBE
State: relaxed

Summary:
**ΔH_f (0 K)**: 0.040 eV/atom
**Space group**: C2/m (12)
**Energy**: -66.98 eV per cell

Cell: 6.1489 6.1489 11.7726 Å, 94.99 94.99 119.97°
Element x y z (fractional)
Y (0.9167, 0.5850, 0.7511)
Y (0.4150, 0.0833, 0.2489)
Y (0.2487, 0.2487, 0.7510)
Y (0.0833, 0.4150, 0.2489)
Y (0.7513, 0.7513, 0.2490)
Y (0.5850, 0.9167, 0.7511)
Dy (0.1676, 0.8324, 0.5000)
Dy (0.8324, 0.1676, 0.5000)
Dy (0.5000, 0.5000, 0.5000)
Tm (0.6666, 0.3334, 0.0000)
Tm (0.3334, 0.6666, 0.0000)
Ce (0.0000, 0.0000, 0.0000)

No. 16
Material: HOs2Cl
Method: DFT, PBE
State: relaxed

Summary:
**Space group**: Fm-3m (225)
**Energy**: -20.76 eV per cell
**Polymorph energy (0 for the lowest one)**: 0.776 eV/atom

Cell: 4.0596 4.0596 4.0596 Å, 60.00 60.00 60.00°
Element x y z (fractional)
Os (0.2500, 0.2500, 0.2500)
Os (0.7500, 0.7500, 0.7500)
H (0.0000, 0.0000, 0.0000)
Cl (0.5000, 0.5000, 0.5000)

No. 17
Material: BeReAs2
Method: DFT, PBE
State: relaxed

Summary:
**ΔH_f (0 K)**: 0.587 eV/atom
**Space group**: Cmmm (65)
**Energy**: -23.12 eV per cell

Cell: 2.9663 2.9663 7.6231 Å, 90.00 90.00 115.97°
Element x y z (fractional)
Be (0.5000, 0.5000, 0.2500)
As (0.0000, 0.0000, 0.0167)
As (0.0000, 0.0000, 0.4833)
Re (0.5000, 0.5000, 0.7500)

No. 18
Material: HfSn2C
Method: DFT, PBE
State: relaxed

Summary:
**ΔH_f (0 K)**: 0.726 eV/atom
**Space group**: I-42d (122)
**Energy**: -48.56 eV per cell

Cell: 6.9404 6.9404 5.8930 Å, 53.92 53.92 90.00°
Element x y z (fractional)
Sn (0.3750, 0.4543, 0.7500)
Sn (0.8750, 0.7957, 0.7500)
Sn (0.2043, 0.6250, 0.2500)
Sn (0.5457, 0.1250, 0.2500)
C (0.5000, 0.5000, 0.0000)
C (0.2500, 0.7500, 0.5000)
Hf (0.0000, 0.0000, 0.0000)
Hf (0.7500, 0.2500, 0.5000)

No. 19
Material: LaTlCd2
Method: DFT, PBE
State: relaxed

Summary:
**ΔH_f (0 K)**: -0.100 eV/atom
**Space group**: C2/m (12)
**Energy**: -9.52 eV per cell

Cell: 6.0635 6.6274 3.2217 Å, 78.37 84.79 115.81°
Element x y z (fractional)
Cd (0.0000, 0.0000, 0.0000)
Cd (0.5000, 0.0000, 0.5000)
La (0.0000, 0.5000, 0.5000)
Tl (0.5000, 0.5000, 0.0000)

No. 20
Material: PaAgBi
Method: DFT, PBE
State: relaxed

Summary:
**ΔH_f (0 K)**: 0.118 eV/atom
**Space group**: P3m1 (156)
**Energy**: -15.87 eV per cell
**Polymorph energy (0 for the lowest one)**: 0.000 eV/atom

Cell: 4.0155 4.7676 4.7676 Å, 120.00 90.00 90.00°
Element x y z (fractional)
Pa (0.6196, 0.6667, 0.3333)
Ag (0.3081, 0.3333, 0.6667)
Bi (0.0724, 0.0000, 0.0000)